An optimized crystal structure of SrNdPu2Se4. Source: Alexandria via LeMat-Bulk, functional GGA-PBE.

Output
Density of states at the Fermi level ... 24.1 states/eV/f.u.
Raw formation energy ... -1.692 eV per atom
Energy ... -62.6 eV/f.u.
Space-group type ... P2/m, No. 10
Spin magnetization ... 0.03 μB/f.u.

Cell and atoms, written as extended XYZ:
```
8
Lattice="7.330 0.000 0.000 0.000 4.222 0.000 -2.470 0.000 6.969" Properties=species:S:1:pos:R:3 pbc="T T T"
Sr 0.000 0.000 0.000
Nd -1.235 2.111 3.484
Pu 2.430 0.000 3.484
Pu 3.665 2.111 0.000
Se 0.044 0.000 5.233
Se 1.273 2.111 1.802
Se 3.587 2.111 5.167
Se 4.816 0.000 1.736
```

An optimized crystal structure of TbNdPu2Se5. Source: Alexandria via LeMat-Bulk, functional GGA-PBE.

Output
Density of states at the Fermi level ... 32.7 states/eV/f.u.
Raw formation energy ... -1.149 eV per atom
Energy ... -65.8 eV/f.u.
Space-group type ... P4/mmm, No. 123
Spin magnetization ... 11.86 μB/f.u.

Cell and atoms, written as extended XYZ:
```
9
Lattice="5.163 0.000 0.000 0.000 5.163 0.000 0.000 0.000 11.004" Properties=species:S:1:pos:R:3 pbc="T T T"
Tb 0.000 0.000 0.000
Nd 0.000 0.000 5.502
Pu 2.581 2.581 2.035
Pu 2.581 2.581 8.969
Se 0.000 0.000 2.771
Se 0.000 0.000 8.233
Se 0.000 2.581 0.000
Se 2.581 0.000 0.000
Se 2.581 2.581 5.502
```

An optimized crystal structure of TbNd2Pu3Se6. Source: Alexandria via LeMat-Bulk, functional GGA-PBE.

Output
Density of states at the Fermi level ... 27.6 states/eV/f.u.
Raw formation energy ... -1.693 eV per atom
Energy ... -98.4 eV/f.u.
Space-group type ... C2/m, No. 12
Spin magnetization ... 17.37 μB/f.u.

Cell and atoms, written as extended XYZ:
```
12
Lattice="9.091 -2.076 0.000 9.091 2.076 0.000 -1.973 0.000 8.116" Properties=species:S:1:pos:R:3 pbc="T T T"
Tb 0.000 0.000 0.000
Nd 4.743 0.000 5.403
Nd 11.466 0.000 2.713
Pu -0.987 0.000 4.058
Pu 5.704 0.000 1.350
Pu 10.504 0.000 6.766
Se 2.848 0.000 0.627
Se 1.834 0.000 4.773
Se 8.563 0.000 1.995
Se 7.646 0.000 6.121
Se 14.375 0.000 3.344
Se 13.361 0.000 7.489
```

An optimized crystal structure of Tb4NdPu3Se8. Source: Alexandria via LeMat-Bulk, functional GGA-PBE.

Output
Density of states at the Fermi level ... 27.1 states/eV/f.u.
Raw formation energy ... -1.715 eV per atom
Energy ... -121.6 eV/f.u.
Space-group type ... R-3m, No. 166
Spin magnetization ... 17.70 μB/f.u.

Cell and atoms, written as extended XYZ:
```
16
Lattice="4.118 2.378 6.786 -4.118 2.378 6.786 0.000 -4.755 6.786" Properties=species:S:1:pos:R:3 pbc="T T T"
Tb 0.000 0.000 0.000
Tb -2.059 -1.189 6.786
Tb -2.059 1.189 13.572
Tb 0.000 2.378 6.786
Nd 0.000 0.000 10.179
Pu -4.118 0.000 10.179
Pu -2.059 1.189 3.393
Pu 2.059 1.189 3.393
Se 0.000 -2.401 8.440
Se -2.079 1.200 8.440
Se -2.079 -1.200 11.918
Se 0.000 0.000 5.113
Se 0.000 0.000 15.246
Se 2.079 1.200 8.440
Se 2.079 -1.200 11.918
Se 0.000 2.401 11.918
```

An optimized crystal structure of TbNd4Pu3Se8. Source: Alexandria via LeMat-Bulk, functional GGA-PBE.

Output
Density of states at the Fermi level ... 30.3 states/eV/f.u.
Raw formation energy ... -1.728 eV per atom
Energy ... -122.2 eV/f.u.
Space-group type ... C2/m, No. 12
Spin magnetization ... 5.76 μB/f.u.

Cell and atoms, written as extended XYZ:
```
16
Lattice="7.218 -4.175 0.000 7.218 4.175 0.000 -4.798 0.000 6.865" Properties=species:S:1:pos:R:3 pbc="T T T"
Tb 0.000 0.000 0.000
Nd -2.399 0.000 3.433
Nd 3.609 2.088 0.000
Nd 3.609 -2.088 0.000
Nd 4.819 0.000 3.433
Pu 1.210 2.088 3.433
Pu 1.210 -2.088 3.433
Pu 7.218 0.000 0.000
Se 2.346 0.000 1.728
Se 3.567 2.099 5.177
Se 6.071 2.099 1.689
Se 0.056 0.000 5.129
Se 9.581 0.000 1.736
Se 3.567 -2.099 5.177
Se 6.071 -2.099 1.689
Se 7.291 0.000 5.137
```

An optimized crystal structure of Tb3NdPu2Se6. Source: Alexandria via LeMat-Bulk, functional GGA-PBE.

Output
Density of states at the Fermi level ... 19.0 states/eV/f.u.
Raw formation energy ... -1.727 eV per atom
Energy ... -89.0 eV/f.u.
Space-group type ... C2/m, No. 12
Spin magnetization ... 11.71 μB/f.u.

Cell and atoms, written as extended XYZ:
```
12
Lattice="3.568 -6.187 0.000 3.568 6.187 0.000 -2.382 0.000 6.790" Properties=species:S:1:pos:R:3 pbc="T T T"
Tb 0.000 0.000 0.000
Tb 3.568 2.037 0.000
Tb 3.568 -2.037 0.000
Nd 2.377 0.000 3.395
Pu 2.377 4.121 3.395
Pu 2.377 -4.121 3.395
Se 1.170 2.092 1.653
Se -0.039 0.000 5.129
Se 1.170 -2.092 1.653
Se 3.585 2.092 5.136
Se 4.794 0.000 1.660
Se 3.585 -2.092 5.136
```

An optimized crystal structure of NdPuTeSe2. Source: Alexandria via LeMat-Bulk, functional GGA-PBE.

Output
Density of states at the Fermi level ... 14.7 states/eV/f.u.
Raw formation energy ... -1.187 eV per atom
Energy ... -35.1 eV/f.u.
Space-group type ... I4mm, No. 107
Spin magnetization ... 4.99 μB/f.u.

Cell and atoms, written as extended XYZ:
```
5
Lattice="-2.299 2.299 7.150 2.299 -2.299 7.150 2.299 2.299 -7.150" Properties=species:S:1:pos:R:3 pbc="T T T"
Nd 0.000 0.000 0.000
Pu 0.000 0.000 3.734
Te 0.000 0.000 9.001
Se 2.299 0.000 5.400
Se 0.000 2.299 5.400
```

An optimized crystal structure of NdPuTh2Se4. Source: Alexandria via LeMat-Bulk, functional GGA-PBE.

Output
Density of states at the Fermi level ... 10.1 states/eV/f.u.
Raw formation energy ... -1.615 eV per atom
Energy ... -60.8 eV/f.u.
Space-group type ... P2/m, No. 10
Spin magnetization ... 5.59 μB/f.u.

Cell and atoms, written as extended XYZ:
```
8
Lattice="7.197 0.000 0.000 0.000 4.164 0.000 -2.411 0.000 6.952" Properties=species:S:1:pos:R:3 pbc="T T T"
Nd 0.000 0.000 0.000
Pu 3.598 2.082 0.000
Th -1.205 2.082 3.476
Th 2.393 0.000 3.476
Se 1.221 2.082 1.714
Se 0.017 0.000 5.261
Se 4.769 0.000 1.691
Se 3.565 2.082 5.238
```